CoTeF | PBE+U | relaxed

- DFT total energy (eV per atom) = -4.15
- crystal system = trigonal
- space group = R3

Structure (CIF):
```
data_CoTeF
_space_group_name_H-M_alt 'P 1'
_space_group_IT_number 1
_space_group_name_Hall 'P 1'
_cell_length_a 5.779
_cell_length_b 5.779
_cell_length_c 6.775
_cell_angle_alpha 64.75
_cell_angle_beta 64.75
_cell_angle_gamma 60.00
loop_
_atom_site_label
_atom_site_fract_x
_atom_site_fract_y
_atom_site_fract_z
Co1 0.134 0.134 0.597
Co2 0.355 0.355 0.934
Co3 0.693 0.693 0.920
F1 0.746 0.410 0.770
F2 0.075 0.746 0.770
F3 0.410 0.075 0.770
Te1 0.600 0.903 0.265
Te2 0.903 0.233 0.265
Te3 0.233 0.600 0.265
```